Entry 1:
A relaxed CaIr2Pt crystal, computed with PBE.

```
CaIr2Pt
1.0
-1.8825 1.5807 3.3155
-3.5448 -0.3525 -1.8447
-0.4233 -3.6889 1.5183
Ir Pt Ca
2 1 1
Direct
0.0000 0.5000 0.5000
0.0000 0.0000 0.0000
0.5000 0.5000 0.0000
0.5000 0.0000 0.5000
```

Summary:
ΔE to the lowest computed polymorph: 0.0075 eV/atom
energy of formation from the pure elements: -12 kJ per mole of atoms
total energy: -26.2 eV/cell



Entry 2:
A relaxed Rb2ErUSe4 crystal, computed with PBE.

```
Rb2ErUSe4
1.0
4.2365 0.0000 0.0000
0.0000 7.3476 0.1307
0.0000 -2.5847 7.9765
U Rb Se Er
1 2 4 1
Direct
0.0000 0.0000 0.0000
0.5000 0.0000 0.5000
0.0000 0.5000 0.5000
0.5000 0.7634 0.8028
0.0000 0.2726 0.8046
0.0000 0.7274 0.1954
0.5000 0.2366 0.1972
0.5000 0.5000 0.0000
```

Summary:
total energy: -43.3 eV/cell
ΔE_f (raw): -1.450 eV per atom



Entry 3:
A relaxed KTl2HgRu crystal, computed with PBE.

```
KTl2HgRu
1.0
-1.1641 -4.6774 -2.2100
3.3202 -2.4127 3.3575
-4.0623 -0.6622 3.5413
Ru K Hg Tl
1 1 1 2
Direct
0.0000 0.0000 0.0000
0.5000 0.5000 0.5000
0.0000 0.0000 0.5000
0.5000 0.0000 0.0000
0.0000 0.5000 0.0000
```

Summary:
energy of formation from the pure elements: 4 kJ per mole of atoms
total energy: -15.2 eV/cell



Entry 4:
A relaxed HoCrP crystal, computed with PBE.

```
HoCrP
1.0
-2.7842 3.7370 -4.6615
-5.3973 -0.6456 3.7283
5.6722 3.5998 3.6471
Cr P Ho
4 4 4
Direct
0.1250 0.8750 0.7500
0.6250 0.8750 0.7500
0.1250 0.3750 0.2500
0.1250 0.8750 0.2500
0.5242 0.0242 0.5000
0.2742 0.2742 0.0000
0.7258 0.7258 0.0000
0.9758 0.4758 0.5000
0.9041 0.4041 0.8082
0.6541 0.6541 0.3082
0.5959 0.0959 0.1918
0.3459 0.3459 0.6918
```

Summary:
energy of formation from the pure elements: -27 kJ per mole of atoms
total energy: -81.8 eV/cell



Entry 5:
A relaxed TlHgBi2S4 crystal, computed with PBE.

```
TlHgBi2S4
1.0
-0.8674 3.9677 0.0747
-5.6922 -3.3519 1.4961
4.0118 0.5660 16.5310
Hg Bi S Tl
2 4 8 2
Direct
0.2041 0.4081 0.2500
0.7959 0.5919 0.7500
0.6364 0.2729 0.0569
0.3636 0.7271 0.9431
0.3636 0.7271 0.5569
0.6364 0.2729 0.4431
0.4307 0.8613 0.7500
0.0000 0.0000 0.0000
0.5693 0.1387 0.2500
0.7187 0.4373 0.9123
0.2813 0.5627 0.0877
0.7187 0.4373 0.5877
0.2813 0.5627 0.4123
0.0000 0.0000 0.5000
0.9000 0.8000 0.2500
0.1000 0.2000 0.7500
```

Summary:
total energy: -57.3 eV/cell
ΔE_f (raw): -0.213 eV per atom



Entry 6:
A relaxed K2TaPdS4 crystal, computed with PBE.

```
K2TaPdS4
1.0
5.7701 0.0000 0.0000
2.8850 6.8020 0.0000
2.8850 0.0000 11.0589
S K Ta Pd
8 4 2 2
Direct
0.3136 0.7930 0.1129
0.5305 0.2930 0.6129
0.2195 0.2070 0.8871
0.5735 0.2070 0.1129
0.8935 0.7930 0.8871
0.1765 0.2930 0.3871
0.4364 0.7070 0.3871
0.8565 0.7070 0.6129
0.9276 0.5000 0.1448
0.8224 0.0000 0.3552
0.5724 0.5000 0.8552
0.1776 0.0000 0.6448
0.5000 0.0000 0.0000
0.2500 0.5000 0.5000
0.0000 0.0000 0.0000
0.7500 0.5000 0.5000
```

Summary:
total energy: -87.4 eV/cell
ΔE_f (raw): -0.996 eV per atom



Entry 7:
A relaxed Re2OsAu crystal, computed with PBE.

```
Re2OsAu
1.0
0.0000 3.1517 3.1517
3.1517 0.0000 3.1517
3.1517 3.1517 0.0000
Au Re Os
1 2 1
Direct
0.5000 0.5000 0.5000
0.2500 0.2500 0.2500
0.7500 0.7500 0.7500
0.0000 0.0000 0.0000
```

Summary:
ΔE to the lowest computed polymorph: 0.5846 eV/atom
energy of formation from the pure elements: 81 kJ per mole of atoms
total energy: -36.1 eV/cell



Entry 8:
A relaxed NaBe3As3 crystal, computed with PBE.

```
NaBe3As3
1.0
6.2097 0.0000 0.0000
3.1048 5.3777 0.0000
3.1048 1.7926 7.7461
Be As Na
6 6 2
Direct
0.1928 0.8578 0.4256
0.1422 0.4762 0.5744
0.4762 0.8072 0.5744
0.5238 0.1928 0.4256
0.8072 0.1422 0.5744
0.8578 0.5238 0.4256
0.7668 0.4270 0.7112
0.4270 0.0950 0.7112
0.2332 0.5730 0.2888
0.0950 0.7668 0.7112
0.5730 0.9050 0.2888
0.9050 0.2332 0.2888
0.6663 0.6663 0.0011
0.3337 0.3337 0.9989
```

Summary:
ΔE to the lowest computed polymorph: 0.0000 eV/atom
energy of formation from the pure elements: -19 kJ per mole of atoms
total energy: -55.6 eV/cell



Entry 9:
A relaxed TbHfTi4 crystal, computed with PBE.

```
TbHfTi4
1.0
-4.4521 3.3688 0.7953
-4.9902 -2.2100 1.4200
-2.0539 0.7797 5.1939
Ti Hf Tb
4 1 1
Direct
0.6278 0.6278 0.6278
0.6278 0.1166 0.6278
0.1166 0.6278 0.6278
0.6278 0.6278 0.1166
0.0000 0.0000 0.0000
0.2500 0.2500 0.2500
```

Summary:
energy of formation from the pure elements: 24 kJ per mole of atoms
total energy: -44.7 eV/cell



Entry 10:
A relaxed Cs2InBr6N crystal, computed with PBE.

```
Cs2InBr6N
1.0
-4.4478 -5.2611 2.9158
1.6345 -4.5471 -5.7111
3.3141 -7.1536 1.7446
Br Cs In N
6 2 1 1
Direct
0.2622 0.7378 0.0000
0.2622 0.2622 0.0000
0.2201 0.2201 0.5598
0.7378 0.2622 0.0000
0.7378 0.7378 0.0000
0.7799 0.7799 0.4402
0.7500 0.2500 0.5000
0.2500 0.7500 0.5000
0.0000 0.0000 0.0000
0.5000 0.5000 0.0000
```

Summary:
total energy: -28.4 eV/cell
ΔE_f (raw): -0.555 eV per atom



Entry 11:
A relaxed Se2IF crystal, computed with PBE.

```
Se2IF
1.0
11.2714 0.0000 0.0000
0.0000 11.2714 0.0000
5.6357 5.6357 2.1753
I F Se
2 2 4
Direct
0.0000 0.0000 0.0000
0.7500 0.2500 0.5000
0.2500 0.7500 0.5000
0.5000 0.5000 0.0000
0.3750 0.3201 0.7500
0.0701 0.6250 0.2500
0.8750 0.9299 0.7500
0.6799 0.1250 0.2500
```

Summary:
ΔE to the lowest computed polymorph: 0.1356 eV/atom
total energy: -22.0 eV/cell
ΔE_f (raw): -0.150 eV per atom



Entry 12:
A relaxed TbTm2Sc9 crystal, computed with PBE.

```
TbTm2Sc9
1.0
-5.3015 0.1212 -3.4338
-2.1736 -5.3104 -2.6432
-7.6146 -3.5379 5.8200
Sc Tm Tb
9 2 1
Direct
0.5000 0.5000 0.5000
0.0752 0.5929 0.7390
0.4071 0.4071 0.2610
0.5929 0.0752 0.7390
0.9248 0.4071 0.2610
0.5929 0.5929 0.7390
0.6654 0.6654 0.0038
0.3346 0.3346 0.9962
0.4071 0.9248 0.2610
0.1379 0.1379 0.5862
0.8621 0.8621 0.4138
0.0000 0.0000 0.0000
```

Summary:
energy of formation from the pure elements: 25 kJ per mole of atoms
total energy: -67.5 eV/cell